Below is a relaxed structure of K3Rb3Hg, with properties calculated at the PBE level.

Formation enthalpy at 0 K ... -24 meV/atom
Space group ... No. 194
Final energy ... -0.952 eV per atom
Volume ... 72.5 Å³/atom

a b c (Å): 14.830 14.830 5.330
angles (deg): 90.00 90.00 120.00
Positions (direct):
1 K 0.158 0.315 0.250
2 K 0.158 0.842 0.250
3 K 0.315 0.158 0.750
4 K 0.685 0.842 0.250
5 K 0.842 0.158 0.750
6 K 0.842 0.685 0.750
7 Rb 0.131 0.566 0.750
8 Rb 0.434 0.566 0.750
9 Rb 0.434 0.869 0.750
10 Rb 0.566 0.131 0.250
11 Rb 0.566 0.434 0.250
12 Rb 0.869 0.434 0.250
13 Hg 0.333 0.667 0.250
14 Hg 0.667 0.333 0.750